(1)
Material: BeMo2Se
Method: DFT, PBE
State: optimized geometry

Computed properties:
E_form (uncorrected)   0.31 eV/atom
Volume   14.4 Å³ per atom
Crystal system   orthorhombic
Space-group type   No. 71
Fermi-level density of states   0.68 states/eV per atom
VASP energy   -6.907 eV/atom
Excess energy over the best structure of this formula in the dataset   0.285 eV per atom

Geometry as CIF:
```
data_BeMo2Se
_chemical_formula_sum 'Be1 Mo2 Se1'
_symmetry_space_group_name_H-M 'P 1'
_symmetry_Int_Tables_number 1
_cell_length_a 4.6680
_cell_length_b 4.6680
_cell_length_c 4.6680
_cell_angle_alpha 136.28
_cell_angle_beta 123.01
_cell_angle_gamma 74.48
loop_
_symmetry_equiv_pos_as_xyz
'x,y,z'
loop_
_atom_site_label
_atom_site_type_symbol
_atom_site_fract_x
_atom_site_fract_y
_atom_site_fract_z
Be1 Be 0.2500 0.7500 0.5000
Mo1 Mo 0.0476 0.0476 0.0000
Mo2 Mo 0.4524 0.4524 0.0000
Se1 Se 0.7500 0.2500 0.5000
```


(2)
Material: BeMoSe2
Method: DFT, PBE
State: optimized geometry

Computed properties:
E_form (uncorrected)   0.52 eV/atom
Volume   18.6 Å³ per atom
Crystal system   tetragonal
Space-group type   No. 119
Fermi-level density of states   0.78 states/eV per atom
VASP energy   -4.865 eV/atom

Geometry as CIF:
```
data_BeMoSe2
_chemical_formula_sum 'Be1 Mo1 Se2'
_symmetry_space_group_name_H-M 'P 1'
_symmetry_Int_Tables_number 1
_cell_length_a 6.5245
_cell_length_b 6.5245
_cell_length_c 6.5245
_cell_angle_alpha 148.78
_cell_angle_beta 148.78
_cell_angle_gamma 44.73
loop_
_symmetry_equiv_pos_as_xyz
'x,y,z'
loop_
_atom_site_label
_atom_site_type_symbol
_atom_site_fract_x
_atom_site_fract_y
_atom_site_fract_z
Be1 Be 0.5000 0.5000 0.0000
Mo1 Mo 0.7500 0.2500 0.5000
Se1 Se 0.0000 0.0000 0.0000
Se2 Se 0.2500 0.7500 0.5000
```


(3)
Material: BeMo2Se
Method: DFT, PBE
State: optimized geometry

Computed properties:
E_form (uncorrected)   0.16 eV/atom
Volume   14.1 Å³ per atom
Crystal system   monoclinic
Space-group type   No. 6
Fermi-level density of states   0.87 states/eV per atom
VASP energy   -7.060 eV/atom
Excess energy over the best structure of this formula in the dataset   0.132 eV per atom

Geometry as CIF:
```
data_BeMo2Se
_chemical_formula_sum 'Be1 Mo2 Se1'
_symmetry_space_group_name_H-M 'P 1'
_symmetry_Int_Tables_number 1
_cell_length_a 4.1764
_cell_length_b 3.0612
_cell_length_c 4.6555
_cell_angle_alpha 71.05
_cell_angle_beta 90.00
_cell_angle_gamma 90.00
loop_
_symmetry_equiv_pos_as_xyz
'x,y,z'
loop_
_atom_site_label
_atom_site_type_symbol
_atom_site_fract_x
_atom_site_fract_y
_atom_site_fract_z
Be1 Be 0.5000 0.5401 0.8030
Mo1 Mo 0.0000 0.9866 0.9024
Mo2 Mo 0.5000 0.2682 0.3391
Se1 Se 0.0000 0.7051 0.4555
```